# Co2TcAs

An optimized crystal structure of Co2TcAs (PBE, the Alexandria database).

```
Co2TcAs
1.0
3.6993 0.0000 0.0000
0.0000 3.6993 0.0000
1.8497 1.8497 8.0691
As Co Tc
2 4 2
direct
0.5000 0.5000 0.0000
0.2500 0.7500 0.5000
0.6148 0.1250 0.2500
0.1352 0.6250 0.2500
0.3750 0.3852 0.7500
0.8750 0.8648 0.7500
0.0000 0.0000 0.0000
0.7500 0.2500 0.5000
```

Calculated values
Mass density   8.75 g cm⁻³
Volume   110.42 Å³ per cell
SG   No. 122
Calculated formation energy   0.47 eV/atom